A geometry-optimized Ac2YTl structure, computed with GGA-PBE.

Lattice parameters (Å, degrees): 5.192 5.192 5.259 90.00 90.00 90.00
Fractional coordinates of all 4 atoms:
Ac 0.000 0.500 0.000
Ac 0.500 0.000 0.000
Y 0.000 0.000 0.500
Tl 0.500 0.500 0.500

Calculated density = 8.751 g cm⁻³
Total moment = 0.00 μB per formula unit
VASP energy = -17.47 eV per cell
Calculated volume = 141.8 Å³/cell
Formation enthalpy at 0 K = -0.10 eV per atom
Energy above the lowest structure with this stoichiometry = 2 meV per atom

---

A geometry-optimized Y2Bi2W structure, computed with GGA-PBE.

Lattice parameters (Å, degrees): 8.108 8.108 4.272 90.00 90.00 90.00
Fractional coordinates of all 10 atoms:
Y 0.148 0.352 0.000
Y 0.352 0.852 0.000
Y 0.648 0.148 0.000
Y 0.852 0.648 0.000
Bi 0.166 0.666 0.500
Bi 0.334 0.166 0.500
Bi 0.666 0.834 0.500
Bi 0.834 0.334 0.500
W 0.000 0.000 0.000
W 0.500 0.500 0.000

Calculated density = 9.221 g cm⁻³
Total moment = 2.03 μB per formula unit
VASP energy = -62.83 eV per cell
Calculated volume = 280.8 Å³/cell
Formation enthalpy at 0 K = 0.45 eV per atom
Energy above the lowest structure with this stoichiometry = 0 meV per atom

---

A geometry-optimized Li2TaW structure, computed with GGA-PBE.

Lattice parameters (Å, degrees): 5.734 5.734 2.656 99.90 99.90 125.02
Fractional coordinates of all 4 atoms:
Li 0.000 0.500 0.000
Li 0.500 0.000 0.000
Ta 0.000 0.000 0.500
W 0.500 0.500 0.500

Calculated density = 9.475 g cm⁻³
Total moment = 0.00 μB per formula unit
VASP energy = -26.89 eV per cell
Calculated volume = 66.4 Å³/cell
Formation enthalpy at 0 K = 0.43 eV per atom
Energy above the lowest structure with this stoichiometry = 199 meV per atom

---

A geometry-optimized HoPa2SiN6 structure, computed with GGA-PBE.

Lattice parameters (Å, degrees): 5.222 5.222 5.122 90.00 90.00 90.00
Fractional coordinates of all 10 atoms:
Ho 0.000 0.000 0.000
Pa 0.000 0.500 0.441
Pa 0.500 0.000 0.441
Si 0.500 0.500 0.047
N 0.000 0.000 0.566
N 0.270 0.270 0.188
N 0.270 0.730 0.188
N 0.500 0.500 0.699
N 0.730 0.270 0.188
N 0.730 0.730 0.188

Calculated density = 8.787 g cm⁻³
Total moment = 0.00 μB per formula unit
VASP energy = -88.99 eV per cell
Calculated volume = 139.7 Å³/cell
Uncorrected formation energy = -1004 meV per atom

---

A geometry-optimized Fe2HgRh structure, computed with GGA-PBE.

Lattice parameters (Å, degrees): 8.962 8.962 8.962 18.21 18.21 18.21
Fractional coordinates of all 4 atoms:
Fe 0.243 0.243 0.243
Fe 0.757 0.757 0.757
Hg 0.000 0.000 0.000
Rh 0.500 0.500 0.500

Calculated density = 11.227 g cm⁻³
Total moment = 6.59 μB per formula unit
VASP energy = -23.31 eV per cell
Calculated volume = 61.4 Å³/cell
Formation enthalpy at 0 K = 0.32 eV per atom

---

A geometry-optimized Mg2NbMo structure, computed with GGA-PBE.

Lattice parameters (Å, degrees): 5.987 5.987 5.987 101.32 101.32 127.40
Fractional coordinates of all 8 atoms:
Mg 0.114 0.625 0.989
Mg 0.375 0.364 0.489
Mg 0.636 0.125 0.011
Mg 0.875 0.886 0.511
Nb 0.250 0.750 0.500
Nb 0.500 0.500 0.000
Mo 0.000 0.000 0.000
Mo 0.750 0.250 0.500

Calculated density = 5.159 g cm⁻³
Total moment = 0.53 μB per formula unit
VASP energy = -41.38 eV per cell
Calculated volume = 152.9 Å³/cell
Formation enthalpy at 0 K = 0.85 eV per atom
Energy above the lowest structure with this stoichiometry = 193 meV per atom